First-principles (PBEsol) data for a relaxed structure of Cr2Os, as listed in Alexandria.

Cell: 5.650 5.650 5.650 Å, 90.00 90.00 90.00°
Space group Fm-3m (No. 225)
One atom of each set of equivalent atoms:
Cr1 0.250 0.250 0.250 [8 per cell]
Os1 0.000 0.000 0.000 [4 per cell]

Calculated values
- Final energy: -10.1161 eV per atom

***

First-principles (PBEsol) data for a relaxed structure of C3S4, as listed in Alexandria.

Cell: 8.133 9.661 13.641 Å, 90.00 107.07 90.00°
Space group P2_1/c (No. 14)
One atom of each set of equivalent atoms:
C1 0.010 0.068 0.101 [4 per cell]
C2 0.069 0.144 0.033 [4 per cell]
C3 0.134 0.221 0.561 [4 per cell]
C4 0.393 0.657 0.655 [4 per cell]
C5 0.425 0.646 0.486 [4 per cell]
C6 0.445 0.583 0.579 [4 per cell]
S1 0.025 0.146 0.217 [4 per cell]
S2 0.079 0.096 0.911 [4 per cell]
S3 0.136 0.175 0.684 [4 per cell]
S4 0.205 0.116 0.486 [4 per cell]
S5 0.311 0.681 0.117 [4 per cell]
S6 0.339 0.689 0.971 [4 per cell]
S7 0.411 0.598 0.773 [4 per cell]
S8 0.475 0.583 0.378 [4 per cell]

Calculated values
- Formation energy from raw total energies: 0.29 eV/atom
- Final energy: -6.3484 eV per atom

***

First-principles (PBEsol) data for a relaxed structure of Sb2MoRh, as listed in Alexandria.

Cell: 6.663 6.663 6.663 Å, 90.00 90.00 90.00°
Space group F-43m (No. 216)
One atom of each set of equivalent atoms:
Sb1 0.000 0.000 0.000 [4 per cell]
Sb2 0.250 0.250 0.250 [4 per cell]
Mo1 0.250 0.250 0.750 [4 per cell]
Rh1 0.000 0.000 0.500 [4 per cell]

Calculated values
- Formation energy from raw total energies: 0.52 eV/atom
- Final energy: -6.7343 eV per atom

***

First-principles (PBEsol) data for a relaxed structure of BaWN3, as listed in Alexandria.

Cell: 7.535 5.727 9.957 Å, 90.00 130.33 90.00°
Space group P2_1/c (No. 14)
One atom of each set of equivalent atoms:
Ba1 0.208 0.236 0.367 [4 per cell]
W1 0.343 0.739 0.640 [4 per cell]
N1 0.081 0.565 0.570 [4 per cell]
N2 0.299 0.748 0.941 [4 per cell]
N3 0.372 0.066 0.703 [4 per cell]

Calculated values
- Formation energy from raw total energies: -0.72 eV/atom
- Final energy: -9.0224 eV per atom

***

First-principles (PBEsol) data for a relaxed structure of NbHI2Br, as listed in Alexandria.

Cell: 5.538 5.538 5.094 Å, 90.00 90.00 90.00°
Space group P4/mmm (No. 123)
One atom of each set of equivalent atoms:
Nb1 0.000 0.000 0.000 [1 per cell]
H1 0.500 0.500 0.500 [1 per cell]
I1 0.000 0.500 0.000 [2 per cell]
Br1 0.000 0.000 0.500 [1 per cell]

Calculated values
- Final energy: -3.6448 eV per atom

***

First-principles (PBEsol) data for a relaxed structure of BeAs2BrN, as listed in Alexandria.

Cell: 4.281 4.281 4.482 Å, 90.00 90.00 90.00°
Space group P4/mmm (No. 123)
One atom of each set of equivalent atoms:
Be1 0.000 0.000 0.000 [1 per cell]
As1 0.000 0.500 0.500 [2 per cell]
Br1 0.500 0.500 0.000 [1 per cell]
N1 0.500 0.500 0.500 [1 per cell]

Calculated values
- Formation energy from raw total energies: 1.14 eV/atom
- Final energy: -3.7864 eV per atom

***

First-principles (PBEsol) data for a relaxed structure of Si3Ni, as listed in Alexandria.

Cell: 2.6580 2.6580 8.3139 Å, 90.00 90.00 120.00°
Space group P-6m2 (No. 187)
One atom of each set of equivalent atoms:
Si1 0.0000 0.0000 0.0000 [1 per cell]
Si2 0.3333 0.6667 0.2764 [2 per cell]
Ni1 0.0000 0.0000 0.5000 [1 per cell]

Calculated values
- Formation energy from raw total energies: 0.06 eV/atom
- Final energy: -5.7898 eV per atom

***

First-principles (PBEsol) data for a relaxed structure of Mn2SiAs, as listed in Alexandria.

Cell: 2.835 2.835 5.676 Å, 90.00 90.00 90.00°
Space group P4/mmm (No. 123)
One atom of each set of equivalent atoms:
Mn1 0.000 0.000 0.246 [2 per cell]
Si1 0.500 0.500 0.000 [1 per cell]
As1 0.500 0.500 0.500 [1 per cell]

Calculated values
- Formation energy from raw total energies: -0.18 eV/atom
- Final energy: -7.7736 eV per atom

***

First-principles (PBEsol) data for a relaxed structure of YSc4, as listed in Alexandria.

Cell: 3.2817 3.2817 39.8010 Å, 90.00 90.00 120.00°
Space group R-3m (No. 166, hexagonal axes)
One atom of each set of equivalent atoms:
Y1 0.0000 0.0000 0.0000 [3 per cell]
Sc1 0.0000 0.0000 0.1993 [6 per cell]
Sc2 0.0000 0.0000 0.4028 [6 per cell]

Calculated values
- Final energy: -6.5863 eV per atom
- ΔE to the lowest computed polymorph: 4 meV per atom

***

First-principles (PBEsol) data for a relaxed structure of K2Rb2Cd, as listed in Alexandria.

Cell: 9.329 9.329 7.201 Å, 90.00 90.00 90.00°
Space group P4/mbm (No. 127)
One atom of each set of equivalent atoms:
K1 0.155 0.345 0.000 [4 per cell]
Rb1 0.183 0.683 0.500 [4 per cell]
Cd1 0.000 0.000 0.000 [2 per cell]

Calculated values
- Final energy: -1.0003 eV per atom

***

First-principles (PBEsol) data for a relaxed structure of CrB3P, as listed in Alexandria.

Cell: 3.839 3.839 3.839 Å, 90.00 90.00 90.00°
Space group Pm-3m (No. 221)
One atom of each set of equivalent atoms:
Cr1 0.000 0.000 0.000 [1 per cell]
B1 0.000 0.000 0.500 [3 per cell]
P1 0.500 0.500 0.500 [1 per cell]

Calculated values
- Final energy: -5.8874 eV per atom

***

First-principles (PBEsol) data for a relaxed structure of ScAg, as listed in Alexandria.

Cell: 9.961 3.240 4.937 Å, 90.00 103.46 90.00°
Space group C2/m (No. 12)
One atom of each set of equivalent atoms:
Sc1 0.113 0.000 0.324 [4 per cell]
Ag1 0.134 0.500 0.848 [4 per cell]

Calculated values
- Final energy: -5.1679 eV per atom